AlTe3: optimized geometry, GGA-PBEsol.

a = 6.2294 Å, b = 6.2294 Å, c = 6.2294 Å
α = 143.50°, β = 63.35°, γ = 130.15°
Positions (direct):
Al: 0.0000 0.0000 0.0000
Te: 0.3319 0.6530 0.6789
Te: 0.6077 0.1077 0.5000
Te: 0.9741 0.6530 0.3211

Output
ΔE_f (raw)	1	meV per atom
V	27.2	A^3/atom
ρ	6.3	g/cm³
E	-3.667	eV/atom